# 1
The following is a DFT calculation (GGA-PBE) of an optimized crystal structure of Li4PmSn4.

a = 6.5742 Å, b = 6.5742 Å, c = 9.4366 Å
α = 90.00°, β = 90.00°, γ = 90.00°
Positions (direct):
Li 0.2298 0.5000 0.9189
Li 0.7702 0.5000 0.9189
Li 0.5000 0.7702 0.0811
Li 0.5000 0.2298 0.0811
Li 0.0000 0.7298 0.4189
Li 0.0000 0.2702 0.4189
Li 0.2702 0.0000 0.5811
Li 0.7298 0.0000 0.5811
Pm 0.0000 0.0000 0.0000
Pm 0.5000 0.5000 0.5000
Sn 0.5000 0.7797 0.7867
Sn 0.5000 0.2203 0.7867
Sn 0.7797 0.5000 0.2133
Sn 0.2203 0.5000 0.2133
Sn 0.2797 0.0000 0.2867
Sn 0.7203 0.0000 0.2867
Sn 0.0000 0.2797 0.7133
Sn 0.0000 0.7203 0.7133

Computed properties:
E_tot, eV/atom: -3.52
Mass density, g/cm³: 5.3
Total moment, μB per formula unit: 0.00
Energy of formation from the pure elements, eV/f.u.: -3.29

=====

# 2
The following is a DFT calculation (GGA-PBE) of an optimized crystal structure of LiPmSn.

a = 3.6682 Å, b = 4.8321 Å, c = 4.8321 Å
α = 120.00°, β = 90.00°, γ = 90.00°
Last column: magnetic moment on the atom in μB.
Positions (direct):
Li 0.1672 0.6667 0.3333  0.02
Sn 0.1661 0.0000 0.0000  -0.01
Pm 0.6667 0.3333 0.6667  0.09

Computed properties:
E_tot, eV/atom: -4.14
Relative energy among the computed polymorphs, kJ per mole of atoms: 7.5
Mass density, g/cm³: 6.1
Total moment, μB per formula unit: 0.29
Energy of formation from the pure elements, eV/f.u.: -1.75

=====

# 3
The following is a DFT calculation (GGA-PBE) of an optimized crystal structure of Li2Pm2Sn3.

a = 4.6699 Å, b = 7.3592 Å, c = 10.2484 Å
α = 90.00°, β = 103.17°, γ = 90.00°
Positions (direct):
Li 0.6957 0.9378 0.3914
Li 0.3043 0.0622 0.6086
Li 0.3043 0.4378 0.6086
Li 0.6957 0.5622 0.3914
Pm 0.1578 0.2500 0.3156
Pm 0.8422 0.7500 0.6844
Pm 0.9502 0.2500 0.9005
Pm 0.0498 0.7500 0.0995
Sn 0.2202 0.7500 0.4404
Sn 0.7798 0.2500 0.5596
Sn 0.5685 0.4464 0.1370
Sn 0.4315 0.5536 0.8630
Sn 0.4315 0.9464 0.8630
Sn 0.5685 0.0536 0.1370

Computed properties:
E_tot, eV/atom: -4.26
Relative energy among the computed polymorphs, kJ per mole of atoms: 0.0
Mass density, g/cm³: 6.4
Total moment, μB per formula unit: 0.00
Energy of formation from the pure elements, eV/f.u.: -4.48

=====

# 4
The following is a DFT calculation (GGA-PBE) of an optimized crystal structure of Li3PmSn3.

a = 7.1167 Å, b = 7.1167 Å, c = 7.1167 Å
α = 90.00°, β = 90.00°, γ = 90.00°
Positions (direct):
Li 0.0000 0.2500 0.5000
Li 0.0000 0.7500 0.5000
Li 0.5000 0.0000 0.7500
Li 0.7500 0.5000 0.0000
Li 0.5000 0.0000 0.2500
Li 0.2500 0.5000 0.0000
Sn 0.2500 0.0000 0.5000
Sn 0.0000 0.5000 0.2500
Sn 0.5000 0.7500 0.0000
Sn 0.7500 0.0000 0.5000
Sn 0.0000 0.5000 0.7500
Sn 0.5000 0.2500 0.0000
Pm 0.5000 0.5000 0.5000
Pm 0.0000 0.0000 0.0000

Computed properties:
E_tot, eV/atom: -3.08
Relative energy among the computed polymorphs, kJ per mole of atoms: 53.0
Mass density, g/cm³: 4.8
Total moment, μB per formula unit: 0.00
Energy of formation from the pure elements, eV/f.u.: 0.91